## LiTePt2 (SCAN)

Data for LiTePt2 at its PBEsol-relaxed geometry.

Calculated values
- Total moment: 0.000 μB/f.u.
- Uncorrected formation energy: -0.428 eV/atom
- SG: No. 8
- Final energy: -45.4351 eV/atom

Lattice parameters (Å, degrees): 3.7678 4.1239 4.8482 109.43 112.87 90.00
Element x y z (fractional)
1 Li 0.2534 0.7762 0.5069
2 Pt 0.0041 0.9702 0.0082
3 Pt 0.7523 0.2825 0.5046
4 Te 0.4902 0.4711 0.9804